A | First-principles (PBE-GGA) data for crystalline CaMgP2Cl at its relaxed geometry, as listed in the Alexandria database.

The structure in POSCAR format:
```
CaMgP2Cl
1.0
4.806 0.000 0.000
0.000 4.806 0.000
0.000 0.000 5.141
Ca Mg P Cl
1 1 2 1
Direct
0.000 0.000 0.000
0.500 0.500 0.500
0.000 0.500 0.500
0.500 0.000 0.500
0.500 0.500 0.000
```

Output
As for the symmetry: P4/mmm (123). Its crystal system is tetragonal. The calculation puts the density of states at the Fermi level at 4.706 states/eV/cell.

---

B | First-principles (PBE-GGA) data for crystalline CaMgP2Cl at its relaxed geometry, as listed in the Alexandria database.

The structure in POSCAR format:
```
CaMgP2Cl
1.0
5.346 0.000 0.000
0.000 5.346 0.000
0.000 0.000 5.113
Ca Mg P Cl
1 1 2 1
Direct
0.000 0.000 0.000
0.500 0.500 0.500
0.000 0.500 0.000
0.500 0.000 0.000
0.000 0.000 0.500
```

Output
As for the symmetry: P4/mmm (123). Its crystal system is tetragonal. The calculation puts the density of states at the Fermi level at 3.018 states/eV/cell.

---

Relative stability in kJ/mol of atoms, measured from the most stable structure: A 0.0; B 53.1

---

A | First-principles (PBE-GGA) data for crystalline CaMn2Cl at its relaxed geometry, as listed in the Alexandria database.

The structure in POSCAR format:
```
CaMn2Cl
1.0
-1.620 2.927 4.717
1.620 -2.927 4.717
1.620 2.927 -4.717
Ca Mn Cl
1 2 1
Direct
0.000 0.000 0.000
0.449 0.449 0.000
0.676 0.176 0.500
0.244 0.744 0.500
```

Output
As for the symmetry: Imm2 (44). Its crystal system is orthorhombic. The calculation puts the density of states at the Fermi level at 3.004 states/eV/cell.

---

B | First-principles (PBE-GGA) data for crystalline CaMn2Cl at its relaxed geometry, as listed in the Alexandria database.

The structure in POSCAR format:
```
CaMn2Cl
1.0
1.692 0.977 9.006
-1.692 0.977 9.006
0.000 -1.954 9.006
Ca Mn Cl
1 2 1
Direct
0.000 0.000 0.000
0.239 0.239 0.239
0.761 0.761 0.761
0.500 0.500 0.500
```

Output
As for the symmetry: R-3m (166). Its crystal system is trigonal. The calculation puts the density of states at the Fermi level at 4.183 states/eV/cell.

---

C | First-principles (PBE-GGA) data for crystalline CaMn2Cl at its relaxed geometry, as listed in the Alexandria database.

The structure in POSCAR format:
```
CaMn2Cl
1.0
-1.913 1.913 12.301
1.913 -1.913 12.301
1.913 1.913 -12.301
Ca Mn Cl
2 4 2
Direct
0.000 0.000 0.000
0.750 0.250 0.500
0.122 0.125 0.497
0.375 0.878 0.003
0.628 0.625 0.503
0.875 0.372 0.997
0.250 0.750 0.500
0.500 0.500 0.000
```

Output
As for the symmetry: I-42d (122). Its crystal system is tetragonal. The calculation puts the density of states at the Fermi level at 8.285 states/eV/cell.

---

Relative stability in kJ/mol of atoms, measured from the most stable structure: A 15.0; B 25.8; C 0.0

---

A | First-principles (PBE-GGA) data for crystalline CaMnCl3 at its relaxed geometry, as listed in the Alexandria database.

The structure in POSCAR format:
```
CaMnCl3
1.0
5.351 0.000 0.000
0.000 5.351 0.000
0.000 0.000 5.351
Ca Mn Cl
1 1 3
Direct
0.000 0.000 0.000
0.500 0.500 0.500
0.000 0.000 0.500
0.000 0.500 0.000
0.500 0.000 0.000
```

Output
As for the symmetry: Pm-3m (221). Its crystal system is cubic. The calculation puts the density of states at the Fermi level at 0.000 states/eV/cell.

---

B | First-principles (PBE-GGA) data for crystalline CaMnCl3 at its relaxed geometry, as listed in the Alexandria database.

The structure in POSCAR format:
```
CaMnCl3
1.0
4.937 0.000 0.000
0.000 4.937 0.000
0.000 0.000 4.937
Ca Mn Cl
1 1 3
Direct
0.000 0.000 0.000
0.500 0.500 0.500
0.000 0.500 0.500
0.500 0.000 0.500
0.500 0.500 0.000
```

Output
As for the symmetry: Pm-3m (221). Its crystal system is cubic. The calculation puts the density of states at the Fermi level at 3.701 states/eV/cell.

---

Relative stability in kJ/mol of atoms, measured from the most stable structure: A 0.0; B 3.1

---

A | First-principles (PBE-GGA) data for crystalline Ca3MnCl at its relaxed geometry, as listed in the Alexandria database.

The structure in POSCAR format:
```
Ca3MnCl
1.0
5.316 0.000 0.000
0.000 5.316 0.000
0.000 0.000 5.316
Ca Mn Cl
3 1 1
Direct
0.000 0.000 0.500
0.000 0.500 0.000
0.500 0.000 0.000
0.500 0.500 0.500
0.000 0.000 0.000
```

Output
As for the symmetry: Pm-3m (221). Its crystal system is cubic. The calculation puts the density of states at the Fermi level at 17.439 states/eV/cell.

---

B | First-principles (PBE-GGA) data for crystalline Ca3MnCl at its relaxed geometry, as listed in the Alexandria database.

The structure in POSCAR format:
```
Ca3MnCl
1.0
5.354 0.000 0.000
0.000 5.354 0.000
0.000 0.000 5.354
Ca Mn Cl
3 1 1
Direct
0.000 0.000 0.500
0.000 0.500 0.000
0.500 0.000 0.000
0.000 0.000 0.000
0.500 0.500 0.500
```

Output
As for the symmetry: Pm-3m (221). Its crystal system is cubic. The calculation puts the density of states at the Fermi level at 1.784 states/eV/cell.

---

Relative stability in kJ/mol of atoms, measured from the most stable structure: A 1.2; B 0.0